Compound: Ce2Ga2Au3
Source: Alexandria
Functional: PBE
Structure: optimized geometry

Values from the calculation:
- Total DFT energy (no corrections): -4.575 eV/atom
- Volume: 156 Å³/f.u.
- Formation enthalpy at 0 K: -4.3 eV per formula unit

Unit cell a=4.273 b=20.031 c=7.290 alpha=90.00 beta=90.00 gamma=90.00
Space group Cmcm (No. 63)
Inequivalent atoms, fractional coordinates:
Ce 0.000 0.056 0.250
Ce 0.000 0.159 0.750
Ga 0.000 0.310 0.556
Au 0.000 0.223 0.250
Au 0.000 0.435 0.058